Entry 1:
VASP calculation (PBE) on crystalline ErGa7Pd5 at its relaxed geometry.

Structure (POSCAR):
```
ErGa7Pd5
1.0
-2.760 4.588 4.300
2.760 -4.588 4.300
2.760 4.588 -4.300
Er Ga Pd
1 7 5
direct
0.000 0.000 0.000 Er
0.207 0.517 0.690 Ga
0.334 0.991 0.343 Ga
0.343 0.343 0.000 Ga
0.636 0.636 0.000 Ga
0.648 0.991 0.657 Ga
0.765 0.265 0.500 Ga
0.826 0.517 0.310 Ga
0.236 0.736 0.500 Pd
0.529 0.008 0.021 Pd
0.529 0.507 0.520 Pd
0.987 0.008 0.480 Pd
0.987 0.507 0.979 Pd
```

Computed properties:
V: 16.75 Å³/atom
Symmetry: Imm2
ΔE_f: -0.59 eV/atom
Total magnetization: 0.00 μB/cell
Total energy: -4.57 eV/atom

=====

Entry 2:
VASP calculation (PBE) on crystalline ErGa2Pd7 at its relaxed geometry.

Structure (POSCAR):
```
ErGa2Pd7
1.0
-2.060 2.060 10.012
2.060 -2.060 10.012
2.060 2.060 -10.012
Er Ga Pd
1 2 7
direct
0.000 0.000 0.000 Er
0.325 0.325 0.000 Ga
0.675 0.675 0.000 Ga
0.102 0.602 0.500 Pd
0.250 0.750 0.500 Pd
0.398 0.898 0.500 Pd
0.500 0.500 0.000 Pd
0.602 0.102 0.500 Pd
0.750 0.250 0.500 Pd
0.898 0.398 0.500 Pd
```

Computed properties:
V: 16.99 Å³/atom
Symmetry: I4/mmm
ΔE_f: -0.68 eV/atom
Total magnetization: 0.00 μB/cell
Excess energy over the best structure of this formula in the dataset: 0 meV/atom
Total energy: -5.38 eV/atom

=====

Entry 3:
VASP calculation (PBE) on crystalline Er2Ga3Pd5 at its relaxed geometry.

Structure (POSCAR):
```
Er2Ga3Pd5
1.0
2.087 -12.446 0.000
2.087 12.446 0.000
0.000 0.000 6.751
Er Ga Pd
4 6 10
direct
0.026 0.974 0.500 Er
0.324 0.676 0.552 Er
0.676 0.324 0.052 Er
0.974 0.026 0.000 Er
0.126 0.874 0.729 Ga
0.284 0.716 0.101 Ga
0.458 0.542 0.691 Ga
0.542 0.458 0.191 Ga
0.716 0.284 0.601 Ga
0.874 0.126 0.229 Ga
0.097 0.903 0.125 Pd
0.196 0.804 0.367 Pd
0.226 0.774 0.801 Pd
0.382 0.618 0.955 Pd
0.442 0.558 0.317 Pd
0.558 0.442 0.817 Pd
0.618 0.382 0.455 Pd
0.774 0.226 0.301 Pd
0.804 0.196 0.867 Pd
0.903 0.097 0.625 Pd
```

Computed properties:
V: 17.54 Å³/atom
Symmetry: Cmc2_1
ΔE_f: -0.83 eV/atom
Total magnetization: 0.00 μB/cell
Excess energy over the best structure of this formula in the dataset: 0 meV/atom
Total energy: -5.25 eV/atom

=====

Entry 4:
VASP calculation (PBE) on crystalline ErGaPd at its relaxed geometry.

Structure (POSCAR):
```
ErGaPd
1.0
-2.228 10.402 3.794
2.228 -10.402 3.794
2.228 10.402 -3.794
Er Ga Pd
6 6 6
direct
0.000 0.000 0.000 Er
0.080 0.916 0.164 Er
0.344 0.014 0.329 Er
0.422 0.922 0.500 Er
0.685 0.014 0.671 Er
0.752 0.916 0.836 Er
0.191 0.294 0.897 Ga
0.363 0.635 0.728 Ga
0.397 0.294 0.103 Ga
0.732 0.296 0.436 Ga
0.861 0.296 0.564 Ga
0.908 0.635 0.272 Ga
0.032 0.629 0.403 Pd
0.070 0.307 0.763 Pd
0.227 0.629 0.597 Pd
0.544 0.307 0.237 Pd
0.549 0.623 0.926 Pd
0.697 0.623 0.074 Pd
```

Computed properties:
V: 19.54 Å³/atom
Symmetry: Imm2
ΔE_f: -0.89 eV/atom
Total magnetization: 0.00 μB/cell
Total energy: -5.15 eV/atom

=====

Entry 5:
VASP calculation (PBE) on crystalline Er2Ga8Pd at its relaxed geometry.

Structure (POSCAR):
```
Er2Ga8Pd
1.0
4.317 0.000 0.000
0.000 4.317 0.000
0.000 0.000 11.083
Er Ga Pd
2 8 1
direct
0.000 0.000 0.188 Er
0.000 0.000 0.812 Er
0.000 0.500 0.000 Ga
0.000 0.500 0.372 Ga
0.000 0.500 0.628 Ga
0.500 0.000 0.000 Ga
0.500 0.000 0.372 Ga
0.500 0.000 0.628 Ga
0.500 0.500 0.195 Ga
0.500 0.500 0.805 Ga
0.000 0.000 0.500 Pd
```

Computed properties:
V: 18.78 Å³/atom
Symmetry: P4/mmm
ΔE_f: -0.51 eV/atom
Total magnetization: 0.00 μB/cell
Total energy: -4.01 eV/atom

=====

Entry 6:
VASP calculation (PBE) on crystalline Er2Ga2Pd at its relaxed geometry.

Structure (POSCAR):
```
Er2Ga2Pd
1.0
5.281 -2.157 0.000
5.281 2.157 0.000
-4.739 0.000 9.295
Er Ga Pd
4 4 2
direct
0.007 0.007 0.328 Er
0.187 0.187 0.115 Er
0.813 0.813 0.885 Er
0.993 0.993 0.672 Er
0.359 0.359 0.443 Ga
0.473 0.473 0.111 Ga
0.527 0.527 0.889 Ga
0.641 0.641 0.557 Ga
0.276 0.276 0.658 Pd
0.724 0.724 0.342 Pd
```

Computed properties:
V: 21.17 Å³/atom
Symmetry: C2/m
ΔE_f: -0.77 eV/atom
Total magnetization: 0.00 μB/cell
Total energy: -4.85 eV/atom

=====

Entry 7:
VASP calculation (PBE) on crystalline ErGa2Pd at its relaxed geometry.

Structure (POSCAR):
```
ErGa2Pd
1.0
2.136 1.233 4.851
-2.136 1.233 4.851
0.000 -2.466 4.851
Er Ga Pd
1 2 1
direct
0.000 0.000 0.000 Er
0.220 0.220 0.220 Ga
0.780 0.780 0.780 Ga
0.500 0.500 0.500 Pd
```

Computed properties:
V: 19.17 Å³/atom
Symmetry: R-3m
ΔE_f: -0.69 eV/atom
Total magnetization: 0.00 μB/cell
Total energy: -4.64 eV/atom

=====

Entry 8:
VASP calculation (PBE) on crystalline Er2GaPd at its relaxed geometry.

Structure (POSCAR):
```
Er2GaPd
1.0
5.886 0.000 0.000
0.000 4.452 0.000
-2.647 0.000 6.880
Er Ga Pd
4 2 2
direct
0.175 0.250 0.411 Er
0.279 0.750 0.075 Er
0.721 0.250 0.925 Er
0.825 0.750 0.589 Er
0.383 0.750 0.698 Ga
0.617 0.250 0.302 Ga
0.158 0.250 0.797 Pd
0.842 0.750 0.203 Pd
```

Computed properties:
V: 22.53 Å³/atom
Symmetry: P2_1/m
ΔE_f: -0.76 eV/atom
Total magnetization: 0.00 μB/cell
Total energy: -5.10 eV/atom

=====

Entry 9:
VASP calculation (PBE) on crystalline Er6GaPd5 at its relaxed geometry.

Structure (POSCAR):
```
Er6GaPd5
1.0
4.961 0.000 0.000
0.000 6.902 0.000
-2.462 0.000 7.453
Er Ga Pd
6 1 5
direct
0.000 0.245 0.000 Er
0.000 0.755 0.000 Er
0.331 0.250 0.663 Er
0.331 0.750 0.663 Er
0.669 0.250 0.337 Er
0.669 0.750 0.337 Er
0.500 0.500 0.000 Ga
0.161 0.500 0.321 Pd
0.168 0.000 0.335 Pd
0.500 0.000 0.000 Pd
0.832 0.000 0.665 Pd
0.839 0.500 0.679 Pd
```

Computed properties:
V: 21.27 Å³/atom
Symmetry: P2/m
ΔE_f: -0.86 eV/atom
Total magnetization: 0.00 μB/cell
Total energy: -5.56 eV/atom

=====

Entry 10:
VASP calculation (PBE) on crystalline ErGa3Pd2 at its relaxed geometry.

Structure (POSCAR):
```
ErGa3Pd2
1.0
4.672 -4.075 0.000
4.672 4.075 0.000
0.000 0.000 5.662
Er Ga Pd
2 6 4
direct
0.148 0.852 0.750 Er
0.852 0.148 0.250 Er
0.070 0.627 0.250 Ga
0.373 0.930 0.250 Ga
0.487 0.513 0.250 Ga
0.513 0.487 0.750 Ga
0.627 0.070 0.750 Ga
0.930 0.373 0.750 Ga
0.268 0.268 0.000 Pd
0.268 0.268 0.500 Pd
0.732 0.732 0.000 Pd
0.732 0.732 0.500 Pd
```

Computed properties:
V: 17.96 Å³/atom
Symmetry: Cmcm
ΔE_f: -0.66 eV/atom
Total magnetization: 0.00 μB/cell
Total energy: -4.67 eV/atom

=====

Entry 11:
VASP calculation (PBE) on crystalline ErGa6Pd4 at its relaxed geometry.

Structure (POSCAR):
```
ErGa6Pd4
1.0
7.646 0.000 0.000
-3.823 6.622 0.000
0.000 0.000 3.747
Er Ga Pd
1 6 4
direct
0.000 0.000 0.000 Er
0.192 0.384 0.500 Ga
0.192 0.808 0.500 Ga
0.529 0.059 0.000 Ga
0.529 0.471 0.000 Ga
0.616 0.808 0.500 Ga
0.941 0.471 0.000 Ga
0.333 0.667 0.000 Pd
0.396 0.198 0.500 Pd
0.802 0.198 0.500 Pd
0.802 0.604 0.500 Pd
```

Computed properties:
V: 17.25 Å³/atom
Symmetry: P-6m2
ΔE_f: -0.60 eV/atom
Total magnetization: 0.00 μB/cell
Total energy: -4.56 eV/atom

=====

Entry 12:
VASP calculation (PBE) on crystalline ErGaPd at its relaxed geometry.

Structure (POSCAR):
```
ErGaPd
1.0
-1.712 1.712 4.954
1.712 -1.712 4.954
1.712 1.712 -4.954
Er Ga Pd
1 1 1
direct
0.000 0.000 0.000 Er
0.689 0.689 0.000 Ga
0.310 0.310 0.000 Pd
```

Computed properties:
V: 19.35 Å³/atom
Symmetry: I4mm
ΔE_f: -0.71 eV/atom
Total magnetization: 0.00 μB/cell
Total energy: -4.97 eV/atom

=====

Copy entry 12 word for word.
VASP calculation (PBE) on crystalline ErGaPd at its relaxed geometry.

Structure (POSCAR):
```
ErGaPd
1.0
-1.712 1.712 4.954
1.712 -1.712 4.954
1.712 1.712 -4.954
Er Ga Pd
1 1 1
direct
0.000 0.000 0.000 Er
0.689 0.689 0.000 Ga
0.310 0.310 0.000 Pd
```

Computed properties:
V: 19.35 Å³/atom
Symmetry: I4mm
ΔE_f: -0.71 eV/atom
Total magnetization: 0.00 μB/cell
Total energy: -4.97 eV/atom

=====

> Among the records above, which one has the lowest total energy?

Er6GaPd5

=====

> What is the V in the tenth record?

17.96 Å³/atom

=====

> Which value of V does entry 12 give?

19.35 Å³/atom